A relaxed structure of PrTmAlCu, computed with PBE.

Cell lengths 5.1180, 5.1180, 5.1180 Å; angles 60.00, 60.00, 60.00 degrees
Last column: nearest neighbours and their distance in Å.
Positions (direct):
Tm 0.5000 0.5000 0.5000  4 Al 3.13, 4 Cu 3.13
Cu 0.2500 0.2500 0.2500  4 Tm 3.13, 4 Pr 3.13
Pr 0.0000 0.0000 0.0000  4 Cu 3.13, 4 Al 3.13
Al 0.7500 0.7500 0.7500  4 Pr 3.13, 4 Tm 3.13

Values from the calculation:
ρ	7.01	g cm⁻³
formation enthalpy at 0 K	-233	meV/atom


A relaxed structure of NbReAgN2, computed with PBE.

Cell lengths 3.9083, 5.2010, 3.9083 Å; angles 90.00, 90.00, 90.00 degrees
Last column: nearest neighbours and their distance in Å.
Positions (direct):
Nb 0.5000 0.5000 0.5000  4 Re 2.76
Ag 0.0000 0.0000 0.0000  4 N 1.95
Re 0.0000 0.5000 0.0000  2 Ag 2.60, 4 Nb 2.76
N 0.0000 0.0000 0.5000  2 Ag 1.95
N 0.5000 0.0000 0.0000  2 Ag 1.95

Values from the calculation:
ρ	8.67	g cm⁻³
formation energy without anion corrections	2541	meV per atom